Entry 1:
Entry from the Alexandria database: crystalline LiTb3Rh8 at its relaxed geometry (PBE).

The space group is R3m (No. 160, hexagonal axes) and the conventional cell measures 5.2888, 5.2888 and 26.0487 Å, with angles of 90.00, 90.00 and 120.00 degrees. The distinct sites, in fractional coordinates, are Li at (0.0000, 0.0000, 0.0000), Tb at (0.0000, 0.0000, 0.1213), Tb at (0.0000, 0.0000, 0.5046), Tb at (0.0000, 0.0000, 0.6341), Rh at (0.0000, 0.0000, 0.3163), Rh at (0.0000, 0.0000, 0.8161), Rh at (0.0002, 0.5001, 0.5664) and Rh at (0.0016, 0.5008, 0.0659).

The energy of formation is -605 meV/atom.

***

Entry 2:
Entry from the Alexandria database: crystalline ScSn3Os at its relaxed geometry (PBE).

The space group is Pm-3m (No. 221) and the conventional cell measures 5.1463, 5.1463 and 5.1463 Å, with angles of 90.00, 90.00 and 90.00 degrees. The distinct sites, in fractional coordinates, are Sc at (0.0000, 0.0000, 0.0000), Sn at (0.0000, 0.5000, 0.5000) and Os at (0.5000, 0.5000, 0.5000).

The energy of formation is 438 meV/atom. As for the polymorph energy (0 for the lowest one): 0.0000 eV/atom.

***

Entry 3:
Entry from the Alexandria database: crystalline UTl2I4Cl2 at its relaxed geometry (PBE).

The space group is C2/m (No. 12) and the conventional cell measures 13.9251, 8.5286 and 7.3389 Å, with angles of 90.00, 110.07 and 90.00 degrees. The distinct sites, in fractional coordinates, are U at (0.0000, 0.0000, 0.0000), Tl at (0.2178, 0.5000, 0.2034), I at (0.0890, 0.2517, 0.8085) and Cl at (0.1667, 0.0000, 0.2936).

The uncorrected formation energy is -860 kJ/mol of formula units.

***

Entry 4:
Entry from the Alexandria database: crystalline Y8As3SeS4 at its relaxed geometry (PBE).

The space group is R-3m (No. 166, hexagonal axes) and the conventional cell measures 8.0584, 8.0584 and 19.6187 Å, with angles of 90.00, 90.00 and 120.00 degrees. The distinct sites, in fractional coordinates, are Y at (0.0000, 0.0000, 0.2492), Y at (0.0072, 0.5036, 0.2474), As at (0.0000, 0.5000, 0.0000), Se at (0.0000, 0.0000, 0.0000), S at (0.0000, 0.0000, 0.5000) and S at (0.0000, 0.5000, 0.5000).

The uncorrected formation energy is -2827 kJ/mol of formula units.

***

Entry 5:
Entry from the Alexandria database: crystalline HgTe2Pb at its relaxed geometry (PBE).

The space group is P3m1 (No. 156) and the conventional cell measures 4.6823, 4.6823 and 8.8766 Å, with angles of 90.00, 90.00 and 120.00 degrees. The distinct sites, in fractional coordinates, are Hg at (0.0000, 0.0000, 0.0000), Te at (0.0000, 0.0000, 0.3364), Te at (0.6667, 0.3333, 0.8989) and Pb at (0.6667, 0.3333, 0.5067).

The uncorrected formation energy is -68 kJ/mol of formula units.

***

Entry 6:
Entry from the Alexandria database: crystalline RbCd3Hg at its relaxed geometry (PBE).

The space group is I4mm (No. 107) and the conventional cell measures 4.9385, 4.9385 and 12.7992 Å, with angles of 90.00, 90.00 and 90.00 degrees. The distinct sites, in fractional coordinates, are Rb at (0.0000, 0.0000, 0.0000), Cd at (0.0000, 0.0000, 0.3781), Cd at (0.0000, 0.5000, 0.2474) and Hg at (0.0000, 0.0000, 0.6086).

The energy of formation is -96 meV/atom. As for the polymorph energy (0 for the lowest one): 0.0000 eV/atom.

***

Entry 7:
Entry from the Alexandria database: crystalline SrTe4Br at its relaxed geometry (PBE).

The space group is F-43m (No. 216) and the conventional cell measures 9.1319, 9.1319 and 9.1319 Å, with angles of 90.00, 90.00 and 90.00 degrees. The distinct sites, in fractional coordinates, are Sr at (0.0000, 0.0000, 0.0000), Te at (0.1248, 0.1248, 0.6248) and Br at (0.2500, 0.2500, 0.2500).

The uncorrected formation energy is -255 kJ/mol of formula units.

***

Entry 8:
Entry from the Alexandria database: crystalline CeMg2Cd6 at its relaxed geometry (PBE).

The space group is P6/mmm (No. 191) and the conventional cell measures 8.8659, 8.8659 and 3.0923 Å, with angles of 90.00, 90.00 and 120.00 degrees. The distinct sites, in fractional coordinates, are Ce at (0.0000, 0.0000, 0.0000), Mg at (0.3333, 0.6667, 0.0000) and Cd at (0.0000, 0.3385, 0.5000).

The energy of formation is -114 meV/atom. As for the polymorph energy (0 for the lowest one): 0.0000 eV/atom.

***

Entry 9:
Entry from the Alexandria database: crystalline La6Ru3Cl2 at its relaxed geometry (PBE).

The space group is C2/m (No. 12) and the conventional cell measures 7.2149, 12.4808 and 7.9214 Å, with angles of 90.00, 107.92 and 90.00 degrees. The distinct sites, in fractional coordinates, are La at (0.2321, 0.1707, 0.2050), La at (0.2427, 0.5000, 0.2002), Ru at (0.0000, 0.0000, 0.0000), Ru at (0.0000, 0.3287, 0.0000) and Cl at (0.0000, 0.1645, 0.5000).

The uncorrected formation energy is -824 kJ/mol of formula units.

***

Entry 10:
Entry from the Alexandria database: crystalline Zr3AlB at its relaxed geometry (PBE).

The space group is Pm-3m (No. 221) and the conventional cell measures 4.6242, 4.6242 and 4.6242 Å, with angles of 90.00, 90.00 and 90.00 degrees. The distinct sites, in fractional coordinates, are Zr at (0.0000, 0.0000, 0.5000), Al at (0.5000, 0.5000, 0.5000) and B at (0.0000, 0.0000, 0.0000).

The energy of formation is -363 meV/atom. As for the polymorph energy (0 for the lowest one): 0.0000 eV/atom.

***

Entry 11:
Entry from the Alexandria database: crystalline CeDyTm4 at its relaxed geometry (PBE).

The space group is C2/m (No. 12) and the conventional cell measures 16.9811, 3.5236 and 6.1058 Å, with angles of 90.00, 96.84 and 90.00 degrees. The distinct sites, in fractional coordinates, are Ce at (0.0000, 0.0000, 0.0000), Dy at (0.0000, 0.5000, 0.5000), Tm at (0.1666, 0.5000, 0.8914) and Tm at (0.1678, 0.0000, 0.3871).

The energy of formation is 19 meV/atom. As for the polymorph energy (0 for the lowest one): 0.0000 eV/atom.

***

Entry 12:
Entry from the Alexandria database: crystalline Tl2Pd2Pb at its relaxed geometry (PBE).

The space group is I4/mmm (No. 139) and the conventional cell measures 3.8915, 3.8915 and 16.4533 Å, with angles of 90.00, 90.00 and 90.00 degrees. The distinct sites, in fractional coordinates, are Tl at (0.0000, 0.0000, 0.1245), Pd at (0.0000, 0.5000, 0.2500) and Pb at (0.0000, 0.0000, 0.5000).

The energy of formation is 31 meV/atom.